This record from the Alexandria database describes crystalline Mg2InMoPd at its relaxed geometry. The functional is PBE.

Its final energy is -3.279 eV per atom. The magnetization comes out at 4.268 μB per formula unit. Its density is 4.64 g/cm3.

The space group is P4/mmm (No. 123) and the conventional cell measures 5.126, 5.126 and 4.982 Å, with angles of 90.00, 90.00 and 90.00 degrees. The distinct sites, in fractional coordinates, are Mg at (0.000, 0.500, 0.000), In at (0.000, 0.000, 0.000), Mo at (0.500, 0.500, 0.500) and Pd at (0.000, 0.000, 0.500).